The following is a DFT calculation (PBE-GGA) of crystalline NaBiTe3Pd at its relaxed geometry.

energy	-3.68	eV/atom
SG	No. 11

The structure in CIF format:
```
data_NaBiTe3Pd
_symmetry_space_group_name_H-M 'P 1'
_symmetry_Int_Tables_number 1
_symmetry_space_group_name_Hall 'P 1'
_cell_length_a 8.587
_cell_length_b 4.453
_cell_length_c 9.849
_cell_angle_alpha 90.00
_cell_angle_beta 98.17
_cell_angle_gamma 90.00
loop_
_atom_site_label
_atom_site_type_symbol
_atom_site_fract_x
_atom_site_fract_y
_atom_site_fract_z
Na1 Na 0.193 0.250 0.273
Na2 Na 0.807 0.750 0.727
Bi1 Bi 0.320 0.750 0.870
Bi2 Bi 0.680 0.250 0.130
Te1 Te 0.061 0.250 0.860
Te2 Te 0.228 0.750 0.541
Te3 Te 0.431 0.750 0.180
Te4 Te 0.569 0.250 0.820
Te5 Te 0.772 0.250 0.459
Te6 Te 0.939 0.750 0.140
Pd1 Pd 0.075 0.250 0.576
Pd2 Pd 0.925 0.750 0.424
```